No. 1
Ti6NO: optimized geometry, PBE-GGA.

a = 5.138 Å, b = 5.138 Å, c = 9.676 Å
α = 90.00°, β = 90.00°, γ = 120.00°
Positions (direct):
1 Ti 0.325 0.337 0.375
2 Ti 0.675 0.663 0.625
3 Ti 0.011 0.675 0.375
4 Ti 0.325 0.989 0.125
5 Ti 0.989 0.325 0.625
6 Ti 0.675 0.011 0.875
7 Ti 0.663 0.989 0.375
8 Ti 0.011 0.337 0.125
9 Ti 0.337 0.011 0.625
10 Ti 0.989 0.663 0.875
11 Ti 0.663 0.675 0.125
12 Ti 0.337 0.325 0.875
13 N 0.333 0.667 0.250
14 N 0.667 0.333 0.750
15 O 0.000 0.000 0.500
16 O 0.000 0.000 0.000

Results
- Magnetic moment: 0.0 μB/cell
- E_form (uncorrected): -9.51 eV/f.u.
- Uncorrected energy: -8.770 eV per atom

---

No. 2
TiGeSe3: optimized geometry, PBE-GGA.

a = 4.920 Å, b = 4.920 Å, c = 4.920 Å
α = 90.00°, β = 90.00°, γ = 90.00°
Positions (direct):
1 Ge 0.000 0.000 0.000
2 Se 0.000 0.500 0.000
3 Se 0.000 0.000 0.500
4 Se 0.500 0.000 0.000
5 Ti 0.500 0.500 0.500

Results
- Magnetic moment: 0.1 μB/cell
- E_form (uncorrected): 1.98 eV/f.u.
- Uncorrected energy: -4.197 eV per atom

---

No. 3
AcHIr: optimized geometry, PBE-GGA.

a = 5.166 Å, b = 3.771 Å, c = 11.357 Å
α = 90.00°, β = 90.00°, γ = 90.00°
Positions (direct):
1 Ac 0.750 0.500 0.137
2 Ac 0.750 0.000 0.637
3 Ac 0.250 0.500 0.863
4 Ac 0.250 0.000 0.363
5 H 0.750 0.999 0.401
6 H 0.750 0.501 0.901
7 H 0.250 0.499 0.099
8 H 0.250 0.001 0.599
9 Ir 0.750 0.500 0.408
10 Ir 0.750 0.000 0.908
11 Ir 0.250 0.000 0.092
12 Ir 0.250 0.500 0.592

Results
- Magnetic moment: 0.0 μB/cell
- Uncorrected energy: -5.962 eV per atom

---

No. 4
Ac8Tl2Ni: optimized geometry, PBE-GGA.

a = 5.372 Å, b = 7.839 Å, c = 10.431 Å
α = 95.14°, β = 104.92°, γ = 90.00°
Positions (direct):
1 Ac 0.405 0.508 0.810
2 Ac 0.638 0.003 0.275
3 Ac 0.786 0.684 0.573
4 Ac 0.995 0.229 0.990
5 Ac 0.214 0.316 0.427
6 Ac 0.362 0.997 0.725
7 Ac 0.595 0.492 0.190
8 Ac 0.005 0.771 0.010
9 Tl 0.815 0.238 0.631
10 Tl 0.185 0.762 0.369
11 Ni 0.500 0.000 0.000

Results
- Magnetic moment: 0.0 μB/cell
- DFT formation energy: -0.13 eV/atom
- Uncorrected energy: -4.072 eV per atom

---

No. 5
Sc2ZnSe: optimized geometry, PBE-GGA.

a = 3.873 Å, b = 3.881 Å, c = 5.524 Å
α = 90.00°, β = 90.00°, γ = 90.00°
Positions (direct):
1 Sc 0.000 0.000 0.875
2 Sc 0.500 0.500 0.375
3 Se 0.000 0.000 0.375
4 Zn 0.500 0.500 0.875

Results
- Magnetic moment: 0.0 μB/cell
- E_form (uncorrected): -3.33 eV/f.u.
- Uncorrected energy: -5.187 eV per atom

---

No. 6
Nd2Tc3N8: optimized geometry, PBE-GGA.

a = 5.034 Å, b = 6.544 Å, c = 6.761 Å
α = 118.95°, β = 109.36°, γ = 90.00°
Positions (direct):
1 Nd 0.351 0.265 0.529
2 Nd 0.649 0.735 0.471
3 Tc 0.500 0.000 0.000
4 Tc 0.000 0.305 0.000
5 Tc 0.000 0.695 0.000
6 N 0.942 0.611 0.222
7 N 0.058 0.389 0.778
8 N 0.890 0.105 0.211
9 N 0.110 0.895 0.789
10 N 0.614 0.679 0.800
11 N 0.614 0.121 0.800
12 N 0.386 0.879 0.200
13 N 0.386 0.321 0.200

Results
- Magnetic moment: 0.0 μB/cell
- E_form (uncorrected): -2.46 eV/f.u.
- Uncorrected energy: -8.438 eV per atom

---

No. 7
Ta2MnAl: optimized geometry, PBE-GGA.

a = 7.165 Å, b = 7.165 Å, c = 5.725 Å
α = 51.26°, β = 51.26°, γ = 90.00°
Positions (direct):
1 Mn 0.000 0.000 0.000
2 Mn 0.750 0.250 0.500
3 Al 0.500 0.500 0.000
4 Al 0.250 0.750 0.500
5 Ta 0.675 0.125 0.250
6 Ta 0.075 0.625 0.250
7 Ta 0.375 0.325 0.750
8 Ta 0.875 0.925 0.750

Results
- Magnetic moment: 0.0 μB/cell
- DFT formation energy: 0.44 eV/atom
- Uncorrected energy: -8.718 eV per atom

---

No. 8
LiPmTmPb: optimized geometry, PBE-GGA.

a = 5.321 Å, b = 5.321 Å, c = 5.321 Å
α = 60.00°, β = 60.00°, γ = 60.00°
Positions (direct):
1 Pb 0.500 0.500 0.500
2 Tm 0.250 0.250 0.250
3 Li 0.000 0.000 0.000
4 Pm 0.750 0.750 0.750

Results
- Magnetic moment: 0.0 μB/cell
- DFT formation energy: -0.27 eV/atom
- Uncorrected energy: -3.976 eV per atom

---

Here are the calculated density of states at the Fermi level numbers, same order: 10.744, 8.910, 3.353, 12.185, 2.980, 3.426, 6.724, 3.327 (states/eV/cell).